Here is an optimized crystal structure of KAg from Alexandria via LeMat-Bulk. Energies are from GGA-PBEsol.

Cell: 4.7145 4.7145 16.0510 Å, 90.00 90.00 120.00°
Closest atoms and distances in Å follow each position.
Element x y z (fractional)
K: 0.3333 0.6667 0.1195  6 Ag 3.43
K: 0.3333 0.6667 0.3805  6 Ag 3.43
K: 0.6667 0.3333 0.6195  6 Ag 3.43
K: 0.6667 0.3333 0.8805  6 Ag 3.43
Ag: 0.0000 0.0000 0.2500  3 Ag 2.72
Ag: 0.0000 0.0000 0.7500  3 Ag 2.72
Ag: 0.3333 0.6667 0.7500  3 Ag 2.72
Ag: 0.6667 0.3333 0.2500  3 Ag 2.72

**Total magnetic moment**: 0.000 Bohr magnetons per cell
**DOS at the Fermi energy**: 0.337 states/eV/atom
**Mass density**: 3.16 g/cm³
**Final energy**: -17.05 eV per cell